VASP calculation (PBE-GGA) on crystalline AgH3I at its relaxed geometry.

Results
**Electronic total energy**: -1.83 eV/atom
**Total moment**: 0.00 μB per cell

CIF file:
```
data_AgH3I
_chemical_formula_sum 'Ag1 H3 I1'
_cell_length_a 4.158
_cell_length_b 4.158
_cell_length_c 4.158
_cell_angle_alpha 90.00
_cell_angle_beta 90.00
_cell_angle_gamma 90.00
_space_group_name_H-M_alt 'P m -3 m'
_space_group_IT_number 221
_space_group_name_Hall '-P 4 2 3'
loop_
_atom_site_label
_atom_site_type_symbol
_atom_site_fract_x
_atom_site_fract_y
_atom_site_fract_z
_atom_site_occupancy
Ag1 Ag 0.000 0.000 0.000 1
H1 H 0.000 0.500 0.500 1
I1 I 0.500 0.500 0.500 1
```